Entry 1:
## MgNi6W (GGA-PBEsol)

Data for MgNi6W after structural relaxation.

a b c (Å): 6.1935 6.1935 10.1321
angles (deg): 90.00 90.00 109.39
Element x y z (fractional)
Ni 0.7521 0.2479 0.2559
Mg 0.7490 0.2510 0.0000
W 0.0000 0.0000 0.7587
Mg 0.2510 0.7490 0.0000
Ni 0.6311 0.8785 0.1281
Ni 0.6278 0.8799 0.6220
Ni 0.8799 0.6278 0.3780
W 0.2504 0.7496 0.5000
Ni 0.3722 0.1201 0.3780
Ni 0.8785 0.6311 0.1281
Ni 0.1215 0.3689 0.1281
Mg 0.5000 0.5000 0.7522
Ni 0.6278 0.8799 0.3780
Ni 0.6311 0.8785 0.8719
Ni 0.0000 0.0000 0.5000
Ni 0.1201 0.3722 0.3780
Ni 0.2479 0.7521 0.2559
Mg 0.5000 0.5000 0.2478
Ni 0.5000 0.5000 0.5000
W 0.0000 0.0000 0.2413
Ni 0.8799 0.6278 0.6220
Ni 0.3722 0.1201 0.6220
Ni 0.7521 0.2479 0.7441
Ni 0.5000 0.5000 0.0000
Ni 0.3689 0.1215 0.1281
Ni 0.1215 0.3689 0.8719
Ni 0.8785 0.6311 0.8719
Ni 0.1201 0.3722 0.6220
Ni 0.0000 0.0000 0.0000
Ni 0.2479 0.7521 0.7441
W 0.7496 0.2504 0.5000
Ni 0.3689 0.1215 0.8719

E: -6.705 eV/atom
formation enthalpy at 0 K: -0.1458 eV/atom
V: 366.6 Å³/cell
total magnetic moment: 0.001 Bohr magnetons per cell

---

Entry 2:
## Te2IrNCl (GGA-PBEsol)

Data for Te2IrNCl after structural relaxation.

a b c (Å): 3.2909 5.2351 5.2351
angles (deg): 90.00 90.00 90.00
Element x y z (fractional)
Ir 0.5000 0.5000 0.5000
Te 0.0000 0.0000 0.5000
Cl 0.0000 0.0000 0.0000
Te 0.0000 0.5000 0.0000
N 0.5000 0.0000 0.0000

E: -3.896 eV/atom
uncorrected formation energy: 1.59 eV per atom
V: 90.2 Å³/cell
total magnetic moment: 0.000 Bohr magnetons per cell